This record from Alexandria via LeMat-Bulk describes a relaxed structure of B2IO2. The functional is PBE.

Computed properties:
As for the volume: 64 Å³/cell. As for the energy above the most stable polymorph in this dataset: 0.000 eV/atom. As for the crystal system: tetragonal.

Cell lengths 3.2183, 3.2183, 6.5487 Å; angles 75.78, 75.78, 90.00 degrees
Last column: nearest neighbours and their distance in Å.
Fractional coordinates of all 5 atoms:
B (0.2034, 0.2034, 0.5932)  4 O 1.71
B (0.7966, 0.7966, 0.4068)  4 O 1.71
O (0.2500, 0.7500, 0.5000)  4 B 1.71
I (0.0000, 0.0000, 0.0000)  2 B 2.50
O (0.7500, 0.2500, 0.5000)  4 B 1.71